# 1
BeRhN2F | PBE | relaxed

Geometry as extended XYZ:
```
5
Lattice="3.8427 0.0000 0.0000 0.0000 3.8427 0.0000 0.0000 0.0000 4.1467" Properties=species:S:1:pos:R:3 pbc="T T T"
Be 0.0000 0.0000 0.0000
Rh 1.9214 1.9214 2.0733
N 0.0000 1.9214 2.0733
N 1.9214 0.0000 2.0733
F 1.9214 1.9214 0.0000
```

Calculated values
polymorph energy (0 for the lowest one): 510 meV/atom
symmetry: P4/mmm (123)



# 2
BeRhN2F | PBE | relaxed

Geometry as extended XYZ:
```
5
Lattice="3.7282 0.0000 0.0000 0.0000 3.7282 0.0000 0.0000 0.0000 3.1257" Properties=species:S:1:pos:R:3 pbc="T T T"
Be 0.0000 0.0000 0.0000
Rh 1.8641 1.8641 1.5628
N 0.0000 1.8641 0.0000
N 1.8641 0.0000 0.0000
F 0.0000 0.0000 1.5628
```

Calculated values
polymorph energy (0 for the lowest one): 0 meV/atom
symmetry: P4/mmm (123)



# 3
BeRhNF2 | PBE | relaxed

Geometry as extended XYZ:
```
5
Lattice="4.2481 0.0000 0.0000 0.0000 4.2481 0.0000 0.0000 0.0000 3.7156" Properties=species:S:1:pos:R:3 pbc="T T T"
Be 0.0000 0.0000 0.0000
Rh 2.1241 2.1241 1.8578
N 2.1241 2.1241 0.0000
F 0.0000 2.1241 1.8578
F 2.1241 0.0000 1.8578
```

Calculated values
polymorph energy (0 for the lowest one): 1134 meV/atom
symmetry: P4/mmm (123)



# 4
BeRhNF2 | PBE | relaxed

Geometry as extended XYZ:
```
5
Lattice="3.0531 0.0000 0.0000 0.0000 3.0531 0.0000 0.0000 0.0000 6.7216" Properties=species:S:1:pos:R:3 pbc="T T T"
Be 0.0000 0.0000 0.0000
Rh 1.5265 1.5265 3.3608
N 0.0000 0.0000 3.3608
F 0.0000 1.5265 0.0000
F 1.5265 0.0000 0.0000
```

Calculated values
polymorph energy (0 for the lowest one): 0 meV/atom
symmetry: P4/mmm (123)



# 5
BeRuNF2 | PBE | relaxed

Geometry as extended XYZ:
```
5
Lattice="3.0266 0.0000 0.0000 0.0000 3.0266 0.0000 0.0000 0.0000 6.8658" Properties=species:S:1:pos:R:3 pbc="T T T"
Be 0.0000 0.0000 0.0000
Ru 1.5133 1.5133 3.4329
N 0.0000 0.0000 3.4329
F 0.0000 1.5133 0.0000
F 1.5133 0.0000 0.0000
```

Calculated values
polymorph energy (0 for the lowest one): 0 meV/atom
symmetry: P4/mmm (123)



# 6
BeRuNF2 | PBE | relaxed

Geometry as extended XYZ:
```
5
Lattice="4.1967 0.0000 0.0000 0.0000 4.1967 0.0000 0.0000 0.0000 3.7334" Properties=species:S:1:pos:R:3 pbc="T T T"
Be 0.0000 0.0000 0.0000
Ru 2.0984 2.0984 1.8667
N 2.0984 2.0984 0.0000
F 0.0000 2.0984 1.8667
F 2.0984 0.0000 1.8667
```

Calculated values
polymorph energy (0 for the lowest one): 1031 meV/atom
symmetry: P4/mmm (123)



no.,density of states at the Fermi level (states/eV/f.u.)
1,3.6
2,6.1
3,2.1
4,2.1
5,3.0
6,2.5